LiMgSn2Pd4: optimized geometry, PBE-GGA.

abc: 4.541 4.541 7.876
angles: 73.24 73.24 60.00
Fractional coordinates of all 8 atoms:
Li 0.500 0.500 0.500
Mg 0.000 0.000 0.000
Sn 0.753 0.753 0.742
Sn 0.247 0.247 0.258
Pd 0.374 0.374 0.878
Pd 0.876 0.876 0.373
Pd 0.124 0.124 0.627
Pd 0.626 0.626 0.122

## Properties
E_form	-5.3	eV/f.u.
space group	R-3m, No. 166
final energy	-4.704	eV/atom
calculated volume	133	Å³/cell